# K2CaBeF6 | the Alexandria database | PBE-GGA | relaxed
# Magnetic moment: 0.00 Bohr magnetons per cell
# Formation energy without anion corrections: -3.124 eV per atom
# Calculated volume: 16.87 Å³ per atom
data_K2CaBeF6
_space_group_name_H-M_alt 'P -3 m 1'
_space_group_IT_number 164
_space_group_name_Hall '-P 3 2"'
_cell_length_a 5.9039
_cell_length_b 5.9039
_cell_length_c 5.5902
_cell_angle_alpha 90.00
_cell_angle_beta 90.00
_cell_angle_gamma 120.00
loop_
_atom_site_label
_atom_site_type_symbol
_atom_site_fract_x
_atom_site_fract_y
_atom_site_fract_z
K1 K 0.3333 0.6667 0.1231
Ca1 Ca 0.0000 0.0000 0.5000
Be1 Be 0.0000 0.0000 0.0000
F1 F 0.1423 0.2846 0.8070